DFT (PBE) results for a relaxed CaLaPb crystal.

```
CaLaPb
1.0
-1.815 2.265 6.229
1.815 -2.265 6.229
1.815 2.265 -6.229
Ca La Pb
1 1 1
Direct
0.000 0.000 0.000
0.287 0.287 0.000
0.636 0.636 0.000
```

Values from the calculation:
Total magnetic moment: 0.55 μB per cell
Space-group type: Imm2 (44)
ΔH_f (0 K): -319 meV/atom


DFT (PBE) results for a relaxed Nd2SmMg crystal.

```
Nd2SmMg
1.0
3.750 0.000 0.000
0.000 3.750 0.000
0.000 0.000 9.120
Nd Sm Mg
2 1 1
Direct
0.000 0.000 0.227
0.000 0.000 0.773
0.500 0.500 0.500
0.500 0.500 0.000
```

Values from the calculation:
Total magnetic moment: 0.00 μB per cell
Space-group type: P4/mmm (123)
Energy above the lowest structure with this stoichiometry: 0 meV/atom
ΔH_f (0 K): -38 meV/atom


DFT (PBE) results for a relaxed HoZnGe crystal.

```
HoZnGe
1.0
4.180 0.000 0.000
-2.090 3.620 0.000
0.000 0.000 7.987
Ho Zn Ge
2 2 2
Direct
0.000 0.000 0.000
0.000 0.000 0.500
0.333 0.667 0.250
0.667 0.333 0.750
0.333 0.667 0.750
0.667 0.333 0.250
```

Values from the calculation:
Total magnetic moment: 0.00 μB per cell
Space-group type: P6_3/mmc (194)
ΔH_f (0 K): -615 meV/atom


DFT (PBE) results for a relaxed Y2Cr2Cu crystal.

```
Y2Cr2Cu
1.0
6.707 0.000 0.000
0.000 6.707 0.000
0.000 0.000 4.386
Y Cr Cu
4 4 2
Direct
0.185 0.315 0.000
0.315 0.815 0.000
0.685 0.185 0.000
0.815 0.685 0.000
0.102 0.602 0.500
0.398 0.102 0.500
0.602 0.898 0.500
0.898 0.398 0.500
0.000 0.000 0.500
0.500 0.500 0.500
```

Values from the calculation:
Total magnetic moment: 0.00 μB per cell
Space-group type: P4/mbm (127)
ΔH_f (0 K): 345 meV/atom


DFT (PBE) results for a relaxed ScSi2Hg crystal.

```
ScSi2Hg
1.0
4.829 -1.865 0.000
4.829 1.865 0.000
-1.576 0.000 4.415
Sc Si Hg
1 2 1
Direct
0.000 0.000 0.000
0.265 0.265 0.852
0.735 0.735 0.148
0.500 0.500 0.500
```

Values from the calculation:
Formation energy from raw total energies: -0.10 eV per atom
Total magnetic moment: 0.00 μB per cell
Space-group type: C2/m (12)


DFT (PBE) results for a relaxed BaH8Se2 crystal.

```
BaH8Se2
1.0
5.341 0.000 0.000
2.609 4.738 0.000
2.464 0.911 8.265
Ba H Se
1 8 2
Direct
0.000 0.000 0.000
0.090 0.187 0.620
0.177 0.032 0.607
0.339 0.353 0.983
0.492 0.513 0.457
0.508 0.487 0.543
0.661 0.647 0.017
0.823 0.968 0.393
0.910 0.813 0.380
0.274 0.305 0.164
0.726 0.695 0.836
```

Values from the calculation:
Raw total energy: -39.80 eV for the cell shown
Total magnetic moment: 0.00 μB per cell
Space-group type: P-1 (2)


DFT (PBE) results for a relaxed NbB2Mo crystal.

```
NbB2Mo
1.0
0.000 2.837 2.837
2.837 0.000 2.837
2.837 2.837 0.000
Nb B Mo
1 2 1
Direct
0.000 0.000 0.000
0.250 0.250 0.250
0.750 0.750 0.750
0.500 0.500 0.500
```

Values from the calculation:
Total magnetic moment: 0.00 μB per cell
Space-group type: Fm-3m (225)
Energy above the lowest structure with this stoichiometry: 836 meV/atom
ΔH_f (0 K): 187 meV/atom


DFT (PBE) results for a relaxed Al2TlCd2 crystal.

```
Al2TlCd2
1.0
8.643 0.000 0.000
0.000 8.643 0.000
0.000 0.000 3.057
Al Tl Cd
4 2 4
Direct
0.115 0.385 0.000
0.385 0.885 0.000
0.615 0.115 0.000
0.885 0.615 0.000
0.000 0.000 0.000
0.500 0.500 0.000
0.179 0.679 0.500
0.321 0.179 0.500
0.679 0.821 0.500
0.821 0.321 0.500
```

Values from the calculation:
Total magnetic moment: 0.00 μB per cell
Space-group type: P4/mbm (127)
Energy above the lowest structure with this stoichiometry: 0 meV/atom
ΔH_f (0 K): 165 meV/atom